[1]
A plane-wave DFT calculation with GGA-PBE was carried out for a relaxed structure of La2SmRu.

Output
E above lowest polymorph (meV per atom): 336
D(E_F) (states/eV per cell): 4.79
Energy of formation from the pure elements (eV per formula unit): 0.429

Lattice parameters (Å, degrees): 3.879 3.879 10.741 79.60 79.60 60.00
Fractional positions:
Ru 0.500 0.500 0.500
Sm 0.000 0.000 0.000
La 0.113 0.113 0.660
La 0.887 0.887 0.340


[2]
A plane-wave DFT calculation with GGA-PBE was carried out for a relaxed structure of Bi3PbC.

Output
E above lowest polymorph (meV per atom): 1324
D(E_F) (states/eV per cell): 8.34
Energy of formation from the pure elements (eV per formula unit): 10.824

Lattice parameters (Å, degrees): 5.964 5.964 5.964 90.00 90.00 90.00
Site moments in Bohr magnetons follow the coordinates.
Fractional positions:
Pb 0.000 0.000 0.000  0.01
C 0.500 0.500 0.500  0.95
Bi 0.000 0.500 0.000  -0.08
Bi 0.000 0.000 0.500  -0.12
Bi 0.500 0.000 0.000  -0.16


[3]
A plane-wave DFT calculation with GGA-PBE was carried out for a relaxed structure of MnSi2Au.

Output
E above lowest polymorph (meV per atom): 329
D(E_F) (states/eV per cell): 1.58
Raw formation energy (eV/atom): 0.186

Lattice parameters (Å, degrees): 5.091 5.091 3.854 67.88 67.88 114.44
Site moments in Bohr magnetons follow the coordinates.
Fractional positions:
Au 0.500 0.000 0.500  0.02
Mn 0.000 0.500 0.500  3.29
Si 0.000 0.000 0.000  -0.02
Si 0.500 0.500 0.000  -0.02


[4]
A plane-wave DFT calculation with GGA-PBE was carried out for a relaxed structure of La2BiAu.

Output
D(E_F) (states/eV per cell): 4.33
Energy of formation from the pure elements (eV per formula unit): -3.214

Lattice parameters (Å, degrees): 4.513 4.513 8.078 73.78 73.78 60.00
Fractional positions:
Au 0.000 0.000 0.000
Bi 0.500 0.500 0.500
La 0.255 0.255 0.234
La 0.745 0.745 0.766


[5]
A plane-wave DFT calculation with GGA-PBE was carried out for a relaxed structure of LiBC.

Output
D(E_F) (states/eV per cell): 0.85
Energy of formation from the pure elements (eV per formula unit): -0.056

Lattice parameters (Å, degrees): 2.801 2.801 7.816 79.68 79.68 60.00
Fractional positions:
Li 0.394 0.394 0.817
Li 0.606 0.606 0.183
B 0.798 0.798 0.606
B 0.202 0.202 0.394
C 0.880 0.880 0.360
C 0.120 0.120 0.640


Number 1: uncorrected energy -23.421 eV for the cell shown. Number 2: uncorrected energy -13.751 eV for the cell shown. Number 3: uncorrected energy -22.549 eV for the cell shown. Number 4: uncorrected energy -20.227 eV for the cell shown. Number 5: uncorrected energy -35.743 eV for the cell shown.